# Nd2Y2CI4Cl PBE-GGA relaxed
# Total energy (eV/atom): -5.156
# Offset from the most stable computed form (eV/atom): 0.034
data_Nd2Y2CI4Cl
_chemical_formula_sum 'Nd4 Y4 C2 I8 Cl2'
_symmetry_space_group_name_H-M 'C 1 2/m 1'
_symmetry_Int_Tables_number 12
_cell_length_a 19.1521
_cell_length_b 3.9547
_cell_length_c 8.4263
_cell_angle_alpha 90.00
_cell_angle_beta 102.46
_cell_angle_gamma 90.00
loop_
_symmetry_equiv_pos_as_xyz
'x,y,z'
'-x,-y,-z'
'-x,y,-z'
'x,-y,z'
'x+1/2,y+1/2,z'
'-x+1/2,-y+1/2,-z'
'-x+1/2,y+1/2,-z'
'x+1/2,-y+1/2,z'
loop_
_atom_site_label
_atom_site_fract_x
_atom_site_fract_y
_atom_site_fract_z
Nd1 0.1343 0.0000 0.0670
Y1 0.9995 0.5000 0.1994
C1 0.0000 0.0000 0.0000
I1 0.1609 0.5000 0.3600
I2 0.1657 0.5000 0.8009
Cl1 0.0000 0.0000 0.5000

=====

# SmGdMg6 PBE-GGA relaxed
# Total energy (eV/atom): -2.429
data_SmGdMg6
_chemical_formula_sum 'Sm1 Gd1 Mg6'
_symmetry_space_group_name_H-M 'P 4/m m m'
_symmetry_Int_Tables_number 123
_symmetry_space_group_name_Hall '-P 4 2'
_cell_length_a 5.1988
_cell_length_b 5.1988
_cell_length_c 7.3583
_cell_angle_alpha 90.00
_cell_angle_beta 90.00
_cell_angle_gamma 90.00
loop_
_atom_site_label
_atom_site_fract_x
_atom_site_fract_y
_atom_site_fract_z
Sm1 0.0000 0.0000 0.0000
Gd1 0.5000 0.5000 0.5000
Mg1 0.0000 0.0000 0.5000
Mg2 0.0000 0.5000 0.2526
Mg3 0.5000 0.5000 0.0000

=====

# KLuFeS3 PBE-GGA relaxed
# Total energy (eV/atom): -5.565
# Offset from the most stable computed form (eV/atom): 0.166
data_KLuFeS3
_chemical_formula_sum 'K4 Lu4 Fe4 S12'
_symmetry_space_group_name_H-M 'C 1 2/m 1'
_symmetry_Int_Tables_number 12
_cell_length_a 16.5137
_cell_length_b 3.9335
_cell_length_c 8.3942
_cell_angle_alpha 90.00
_cell_angle_beta 102.70
_cell_angle_gamma 90.00
loop_
_symmetry_equiv_pos_as_xyz
'x,y,z'
'-x,-y,-z'
'-x,y,-z'
'x,-y,z'
'x+1/2,y+1/2,z'
'-x+1/2,-y+1/2,-z'
'-x+1/2,y+1/2,-z'
'x+1/2,-y+1/2,z'
loop_
_atom_site_label
_atom_site_fract_x
_atom_site_fract_y
_atom_site_fract_z
K1 0.1485 0.0000 0.0710
Lu1 0.1660 0.0000 0.5775
Fe1 0.0085 0.5000 0.7296
S1 0.0000 0.0000 0.5000
S2 0.0000 0.5000 0.0000
S3 0.1568 0.5000 0.7836
S4 0.1661 0.5000 0.3622

=====

# SrZr2Fe PBE-GGA relaxed
# Total energy (eV/atom): -5.983
data_SrZr2Fe
_chemical_formula_sum 'Sr4 Zr8 Fe4'
_symmetry_space_group_name_H-M 'F -4 3 m'
_symmetry_Int_Tables_number 216
_symmetry_space_group_name_Hall 'F -4 2 3'
_cell_length_a 7.0918
_cell_length_b 7.0918
_cell_length_c 7.0918
_cell_angle_alpha 90.00
_cell_angle_beta 90.00
_cell_angle_gamma 90.00
loop_
_atom_site_label
_atom_site_fract_x
_atom_site_fract_y
_atom_site_fract_z
Sr1 0.0000 0.0000 0.0000
Zr1 0.0000 0.0000 0.5000
Zr2 0.2500 0.2500 0.7500
Fe1 0.2500 0.2500 0.2500

=====

# La2TbNi9 PBE-GGA relaxed
# Total energy (eV/atom): -5.733
# Energy of formation (eV/atom): -0.35
data_La2TbNi9
_chemical_formula_sum 'La6 Tb3 Ni27'
_symmetry_space_group_name_H-M 'R -3 m'
_symmetry_Int_Tables_number 166
_symmetry_space_group_name_Hall '-R 3 2"'
_cell_length_a 4.9789
_cell_length_b 4.9789
_cell_length_c 24.8716
_cell_angle_alpha 90.00
_cell_angle_beta 90.00
_cell_angle_gamma 120.00
loop_
_atom_site_label
_atom_site_fract_x
_atom_site_fract_y
_atom_site_fract_z
La1 0.0000 0.0000 0.1383
Tb1 0.0000 0.0000 0.0000
Ni1 0.0000 0.0000 0.3326
Ni2 0.0000 0.0000 0.5000
Ni3 0.0013 0.5006 0.0794

=====

# LiOsNO PBE-GGA relaxed
# Total energy (eV/atom): -6.990
# Offset from the most stable computed form (eV/atom): 0.082
data_LiOsNO
_chemical_formula_sum 'Li1 Os1 N1 O1'
_symmetry_space_group_name_H-M 'P m m m'
_symmetry_Int_Tables_number 47
_cell_length_a 2.7436
_cell_length_b 3.1183
_cell_length_c 4.1186
_cell_angle_alpha 90.00
_cell_angle_beta 90.00
_cell_angle_gamma 90.00
loop_
_symmetry_equiv_pos_as_xyz
'x,y,z'
'-x,-y,-z'
'-x,-y,z'
'x,y,-z'
'x,-y,-z'
'-x,y,z'
'-x,y,-z'
'x,-y,z'
loop_
_atom_site_label
_atom_site_fract_x
_atom_site_fract_y
_atom_site_fract_z
Li1 0.0000 0.0000 0.0000
Os1 0.5000 0.5000 0.5000
N1 0.0000 0.0000 0.5000
O1 0.5000 0.5000 0.0000